Record 1
Here is an optimized crystal structure of Ce2PuGeC from Alexandria via LeMat-Bulk. Energies are from PBE.

POSCAR file:
```
Ce2PuGeC
1.0
4.9035 0.0000 0.0000
0.0000 4.9035 0.0000
0.0000 0.0000 4.6968
Ce Pu Ge C
2 1 1 1
Cartesian
0.0000 2.4518 0.0000
2.4518 0.0000 0.0000
0.0000 0.0000 2.3484
2.4518 2.4518 2.3484
0.0000 0.0000 0.0000
```

Computed properties:
SG: P4/mmm
E in eV/atom: -8.36
DFT formation energy in eV per atom: -0.35
Total magnetization in μB/atom: 1.2628

Record 2
Here is an optimized crystal structure of DyHoErPu from Alexandria via LeMat-Bulk. Energies are from PBE.

POSCAR file:
```
DyHoErPu
1.0
0.0000 3.9271 3.9271
3.9271 0.0000 3.9271
3.9271 3.9271 0.0000
Dy Ho Er Pu
1 1 1 1
Cartesian
0.0000 0.0000 0.0000
1.9636 1.9636 1.9636
5.8907 5.8907 5.8907
3.9271 3.9271 3.9271
```

Computed properties:
SG: F-43m
E in eV/atom: -6.83
DFT formation energy in eV per atom: 0.19
Total magnetization in μB/atom: 1.7170

Record 3
Here is an optimized crystal structure of LuZrMn from Alexandria via LeMat-Bulk. Energies are from PBE.

POSCAR file:
```
LuZrMn
1.0
-1.6216 1.6216 5.9187
1.6216 -1.6216 5.9187
1.6216 1.6216 -5.9187
Lu Zr Mn
1 1 1
Cartesian
0.0000 0.0000 0.0000
0.0000 0.0000 3.0949
0.0000 0.0000 7.6525
```

Computed properties:
SG: I4mm
E in eV/atom: -7.35
DFT formation energy in eV per atom: 0.07
Total magnetization in μB/atom: 0.0000

Record 4
Here is an optimized crystal structure of In2BiB from Alexandria via LeMat-Bulk. Energies are from PBE.

POSCAR file:
```
In2BiB
1.0
0.0000 3.6587 3.6587
3.6587 0.0000 3.6587
3.6587 3.6587 0.0000
In Bi B
2 1 1
Cartesian
1.8294 1.8294 1.8294
5.4881 5.4881 5.4881
0.0000 0.0000 0.0000
3.6587 3.6587 3.6587
```

Computed properties:
SG: Fm-3m
E in eV/atom: -3.04
DFT formation energy in eV per atom: 0.97
Total magnetization in μB/atom: 0.0000

Record 5
Here is an optimized crystal structure of Nd8Si3Te4Cl from Alexandria via LeMat-Bulk. Energies are from PBE.

POSCAR file:
```
Nd8Si3Te4Cl
1.0
4.3418 2.5068 7.3076
-4.3418 2.5068 7.3076
0.0000 -5.0135 7.3076
Nd Si Te Cl
8 3 4 1
Cartesian
-2.2509 -1.2996 12.5930
0.0000 0.0000 5.2839
0.0000 -2.5991 9.3300
-2.2509 1.2996 9.3300
2.2509 -1.2996 12.5930
0.0000 2.5991 12.5930
0.0000 0.0000 16.6390
2.2509 1.2996 9.3300
-4.3418 0.0000 10.9615
-2.1709 1.2534 3.6538
2.1709 1.2534 3.6538
0.0000 0.0000 0.0000
-2.1709 -1.2534 7.3076
-2.1709 1.2534 14.6153
0.0000 2.5068 7.3076
0.0000 0.0000 10.9615
```

Computed properties:
SG: R-3m
E in eV/atom: -5.54
Formation energy (no corrections) in eV per atom: -1.241
Total magnetization in μB/atom: 0.0000

Record 6
Here is an optimized crystal structure of K2H2Br from Alexandria via LeMat-Bulk. Energies are from PBE.

POSCAR file:
```
K2H2Br
1.0
8.9037 0.0000 0.0000
0.0000 8.9037 0.0000
0.0000 0.0000 5.9783
K H Br
4 4 2
Cartesian
1.8172 2.6346 0.0000
2.6346 7.0865 0.0000
6.2691 1.8172 0.0000
7.0865 6.2691 0.0000
0.2663 4.7181 2.9892
4.1856 0.2663 2.9892
4.7181 8.6375 2.9892
8.6375 4.1856 2.9892
0.0000 0.0000 0.0000
4.4519 4.4519 0.0000
```

Computed properties:
SG: P4/mbm
E in eV/atom: -2.64
Total magnetization in μB/atom: 0.0000

Record 7
Here is an optimized crystal structure of Ca3ScGe from Alexandria via LeMat-Bulk. Energies are from PBE.

POSCAR file:
```
Ca3ScGe
1.0
5.6977 0.0000 0.0000
0.0000 5.6977 0.0000
0.0000 0.0000 5.6977
Ca Sc Ge
3 1 1
Cartesian
0.0000 0.0000 2.8489
0.0000 2.8489 0.0000
2.8489 0.0000 0.0000
2.8489 2.8489 2.8489
0.0000 0.0000 0.0000
```

Computed properties:
SG: Pm-3m
E in eV/atom: -3.28
DFT formation energy in eV per atom: 0.11
Total magnetization in μB/atom: 0.2202

Record 8
Here is an optimized crystal structure of Ho3PaNi8 from Alexandria via LeMat-Bulk. Energies are from PBE.

POSCAR file:
```
Ho3PaNi8
1.0
2.5284 1.4598 8.2447
-2.5284 1.4598 8.2447
0.0000 -2.9195 8.2447
Ho Pa Ni
3 1 8
Cartesian
0.0000 0.0000 0.0000
0.0000 0.0000 3.0629
0.0000 0.0000 15.5128
0.0000 0.0000 12.3697
0.0000 -1.4514 5.6565
-1.2570 0.7257 5.6565
-1.2572 -0.7259 9.8274
0.0000 0.0000 7.7408
1.2570 0.7257 5.6565
1.2572 -0.7258 9.8273
0.0000 1.4517 9.8273
0.0000 0.0000 20.1156
```

Computed properties:
SG: R3m
E in eV/atom: -6.22
DFT formation energy in eV per atom: -0.43
Total magnetization in μB/atom: 0.0000

Record 9
Here is an optimized crystal structure of SrV2Ge2 from Alexandria via LeMat-Bulk. Energies are from PBE.

POSCAR file:
```
SrV2Ge2
1.0
-2.0315 2.0315 5.9414
2.0315 -2.0315 5.9414
2.0315 2.0315 -5.9414
Sr V Ge
1 2 2
Cartesian
0.0000 0.0000 0.0000
2.0315 0.0000 2.9707
0.0000 2.0315 2.9707
0.0000 0.0000 4.4796
0.0000 0.0000 7.4033
```

Computed properties:
SG: I4/mmm
E in eV/atom: -6.12
DFT formation energy in eV per atom: -0.29
Total magnetization in μB/atom: 0.0000

Record 10
Here is an optimized crystal structure of KCd2GaRu from Alexandria via LeMat-Bulk. Energies are from PBE.

POSCAR file:
```
KCd2GaRu
1.0
5.3035 0.0000 0.0000
0.0000 5.3035 0.0000
0.0000 0.0000 4.8181
K Cd Ga Ru
1 2 1 1
Cartesian
0.0000 0.0000 0.0000
0.0000 2.6518 2.4091
2.6518 0.0000 2.4091
2.6518 2.6518 0.0000
2.6518 2.6518 2.4091
```

Computed properties:
SG: P4/mmm
E in eV/atom: -3.05
DFT formation energy in eV per atom: 0.00
Total magnetization in μB/atom: 0.0000

Record 11
Here is an optimized crystal structure of SrPb2Se from Alexandria via LeMat-Bulk. Energies are from PBE.

POSCAR file:
```
SrPb2Se
1.0
-2.1593 2.8162 5.0270
2.1593 -2.8162 5.0270
2.1593 2.8162 -5.0270
Sr Pb Se
1 2 1
Cartesian
0.0000 0.0000 0.0000
0.0000 0.0000 4.6169
0.0000 2.8162 2.3176
2.1593 0.0000 2.2934
```

Computed properties:
SG: Imm2
E in eV/atom: -3.64
Formation energy (no corrections) in eV per atom: -0.498
Total magnetization in μB/atom: 0.0000

Record 12
Here is an optimized crystal structure of LaReBr2 from Alexandria via LeMat-Bulk. Energies are from PBE.

POSCAR file:
```
LaReBr2
1.0
-2.3761 2.3761 9.0691
2.3761 -2.3761 9.0691
2.3761 2.3761 -9.0691
La Re Br
2 2 4
Cartesian
0.0000 0.0000 0.0000
0.0000 2.3761 4.5345
2.3761 0.0000 4.5345
0.0000 0.0000 9.0691
1.1880 -0.9750 6.8018
1.4011 1.1880 2.2673
1.1880 3.3510 -2.2673
0.9750 1.1880 11.3363
```

Computed properties:
SG: I-42d
E in eV/atom: -5.00
Formation energy (no corrections) in eV per atom: 0.178
Total magnetization in μB/atom: 0.0001